(1)
Entry from Alexandria: an optimized crystal structure of Er3Al4Ga2 (PBE).

Summary:
Calculated formation energy ... -0.528 eV/atom

CIF file:
```
data_Er3Al4Ga2
_chemical_formula_sum 'Er3 Al4 Ga2'
_cell_length_a 4.479
_cell_length_b 5.683
_cell_length_c 8.509
_cell_angle_alpha 111.74
_cell_angle_beta 90.00
_cell_angle_gamma 113.21
_space_group_name_H-M_alt 'P 1'
_space_group_IT_number 1
loop_
_space_group_symop_operation_xyz
'x,y,z'
loop_
_atom_site_label
_atom_site_type_symbol
_atom_site_fract_x
_atom_site_fract_y
_atom_site_fract_z
_atom_site_occupancy
Er1 Er 0.670 0.340 0.662 1
Er2 Er 0.000 0.000 0.000 1
Er3 Er 0.330 0.660 0.338 1
Al1 Al 0.730 0.461 0.065 1
Al2 Al 0.270 0.539 0.935 1
Al3 Al 0.956 0.913 0.623 1
Al4 Al 0.044 0.087 0.377 1
Ga1 Ga 0.610 0.220 0.278 1
Ga2 Ga 0.390 0.780 0.722 1
```

***

(2)
Entry from Alexandria: an optimized crystal structure of MoPdRu2 (PBE).

Summary:
Calculated formation energy ... 0.030 eV/atom
Energy relative to the lowest polymorph listed for this composition ... 0.0 meV/atom

CIF file:
```
data_MoPdRu2
_chemical_formula_sum 'Mo1 Pd1 Ru2'
_cell_length_a 3.789
_cell_length_b 3.921
_cell_length_c 3.921
_cell_angle_alpha 90.00
_cell_angle_beta 90.00
_cell_angle_gamma 90.00
_space_group_name_H-M_alt 'P 1'
_space_group_IT_number 1
loop_
_space_group_symop_operation_xyz
'x,y,z'
loop_
_atom_site_label
_atom_site_type_symbol
_atom_site_fract_x
_atom_site_fract_y
_atom_site_fract_z
_atom_site_occupancy
Ru1 Ru 0.000 0.000 0.500 1
Ru2 Ru 0.000 0.500 0.000 1
Mo1 Mo 0.500 0.000 0.000 1
Pd1 Pd 0.500 0.500 0.500 1
```

***

(3)
Entry from Alexandria: an optimized crystal structure of Pr2ThZn3 (PBE).

Summary:
Calculated formation energy ... -0.248 eV/atom
Energy relative to the lowest polymorph listed for this composition ... 6.2 meV/atom

CIF file:
```
data_Pr2ThZn3
_chemical_formula_sum 'Pr2 Th1 Zn3'
_cell_length_a 5.227
_cell_length_b 5.227
_cell_length_c 6.403
_cell_angle_alpha 90.00
_cell_angle_beta 90.00
_cell_angle_gamma 120.00
_space_group_name_H-M_alt 'P 1'
_space_group_IT_number 1
loop_
_space_group_symop_operation_xyz
'x,y,z'
loop_
_atom_site_label
_atom_site_type_symbol
_atom_site_fract_x
_atom_site_fract_y
_atom_site_fract_z
_atom_site_occupancy
Pr1 Pr 0.667 0.333 0.334 1
Pr2 Pr 0.333 0.667 0.666 1
Th1 Th 0.000 0.000 0.000 1
Zn1 Zn 0.000 0.000 0.500 1
Zn2 Zn 0.667 0.333 0.839 1
Zn3 Zn 0.333 0.667 0.161 1
```

***

(4)
Entry from Alexandria: an optimized crystal structure of Rb2HgAuO (PBE).

Summary:
Energy relative to the lowest polymorph listed for this composition ... 0.0 meV/atom
Energy relative to the elements, uncorrected ... -0.58 eV per atom

CIF file:
```
data_Rb2HgAuO
_chemical_formula_sum 'Rb4 Hg2 Au2 O2'
_cell_length_a 4.587
_cell_length_b 7.814
_cell_length_c 9.759
_cell_angle_alpha 111.13
_cell_angle_beta 90.00
_cell_angle_gamma 90.00
_space_group_name_H-M_alt 'P 1'
_space_group_IT_number 1
loop_
_space_group_symop_operation_xyz
'x,y,z'
loop_
_atom_site_label
_atom_site_type_symbol
_atom_site_fract_x
_atom_site_fract_y
_atom_site_fract_z
_atom_site_occupancy
Rb1 Rb 0.750 0.796 0.638 1
Rb2 Rb 0.750 0.812 0.030 1
Rb3 Rb 0.250 0.204 0.362 1
Rb4 Rb 0.250 0.188 0.970 1
Hg1 Hg 0.250 0.698 0.302 1
Hg2 Hg 0.750 0.302 0.698 1
Au1 Au 0.250 0.525 0.754 1
Au2 Au 0.750 0.475 0.246 1
O1 O 0.250 0.810 0.829 1
O2 O 0.750 0.190 0.171 1
```

***

(5)
Entry from Alexandria: an optimized crystal structure of Ce2InS5 (PBE).

Summary:
Energy relative to the lowest polymorph listed for this composition ... 104.3 meV/atom
Energy relative to the elements, uncorrected ... -1.37 eV per atom

CIF file:
```
data_Ce2InS5
_chemical_formula_sum 'Ce4 In2 S10'
_cell_length_a 5.327
_cell_length_b 7.258
_cell_length_c 13.181
_cell_angle_alpha 90.00
_cell_angle_beta 90.00
_cell_angle_gamma 111.53
_space_group_name_H-M_alt 'P 1'
_space_group_IT_number 1
loop_
_space_group_symop_operation_xyz
'x,y,z'
loop_
_atom_site_label
_atom_site_type_symbol
_atom_site_fract_x
_atom_site_fract_y
_atom_site_fract_z
_atom_site_occupancy
Ce1 Ce 0.857 0.713 0.435 1
Ce2 Ce 0.857 0.713 0.065 1
Ce3 Ce 0.143 0.287 0.565 1
Ce4 Ce 0.143 0.287 0.935 1
In1 In 0.811 0.623 0.750 1
In2 In 0.189 0.377 0.250 1
S1 S 0.952 0.903 0.884 1
S2 S 0.952 0.903 0.616 1
S3 S 0.304 0.608 0.422 1
S4 S 0.304 0.608 0.078 1
S5 S 0.744 0.488 0.250 1
S6 S 0.256 0.512 0.750 1
S7 S 0.696 0.392 0.578 1
S8 S 0.696 0.392 0.922 1
S9 S 0.048 0.097 0.116 1
S10 S 0.048 0.097 0.384 1
```

***

(6)
Entry from Alexandria: an optimized crystal structure of NdY2Rh (PBE).

Summary:
Calculated formation energy ... -0.402 eV/atom
Energy relative to the lowest polymorph listed for this composition ... 82.4 meV/atom

CIF file:
```
data_NdY2Rh
_chemical_formula_sum 'Nd1 Y2 Rh1'
_cell_length_a 3.513
_cell_length_b 3.513
_cell_length_c 8.817
_cell_angle_alpha 90.00
_cell_angle_beta 90.00
_cell_angle_gamma 90.00
_space_group_name_H-M_alt 'P 1'
_space_group_IT_number 1
loop_
_space_group_symop_operation_xyz
'x,y,z'
loop_
_atom_site_label
_atom_site_type_symbol
_atom_site_fract_x
_atom_site_fract_y
_atom_site_fract_z
_atom_site_occupancy
Y1 Y 0.000 0.000 0.814 1
Y2 Y 0.000 0.000 0.186 1
Rh1 Rh 0.500 0.500 0.000 1
Nd1 Nd 0.500 0.500 0.500 1
```

***

(7)
Entry from Alexandria: an optimized crystal structure of PmHf2TiN4 (PBE).

Summary:
Energy relative to the elements, uncorrected ... -1.48 eV per atom

CIF file:
```
data_PmHf2TiN4
_chemical_formula_sum 'Pm2 Hf4 Ti2 N8'
_cell_length_a 3.240
_cell_length_b 5.909
_cell_length_c 11.380
_cell_angle_alpha 90.00
_cell_angle_beta 90.00
_cell_angle_gamma 105.91
_space_group_name_H-M_alt 'P 1'
_space_group_IT_number 1
loop_
_space_group_symop_operation_xyz
'x,y,z'
loop_
_atom_site_label
_atom_site_type_symbol
_atom_site_fract_x
_atom_site_fract_y
_atom_site_fract_z
_atom_site_occupancy
Pm1 Pm 0.106 0.212 0.750 1
Pm2 Pm 0.894 0.788 0.250 1
Hf1 Hf 0.370 0.739 0.537 1
Hf2 Hf 0.630 0.261 0.037 1
Hf3 Hf 0.630 0.261 0.463 1
Hf4 Hf 0.370 0.739 0.963 1
Ti1 Ti 0.842 0.684 0.750 1
Ti2 Ti 0.158 0.316 0.250 1
N1 N 0.261 0.521 0.114 1
N2 N 0.739 0.479 0.614 1
N3 N 0.739 0.479 0.886 1
N4 N 0.261 0.521 0.386 1
N5 N 0.000 0.000 0.500 1
N6 N 0.000 0.000 0.000 1
N7 N 0.446 0.891 0.750 1
N8 N 0.554 0.109 0.250 1
```

***

(8)
Entry from Alexandria: an optimized crystal structure of Li3HgPt (PBE).

Summary:
Calculated formation energy ... 0.279 eV/atom
Energy relative to the lowest polymorph listed for this composition ... 715.6 meV/atom

CIF file:
```
data_Li3HgPt
_chemical_formula_sum 'Li3 Hg1 Pt1'
_cell_length_a 4.696
_cell_length_b 4.696
_cell_length_c 4.696
_cell_angle_alpha 90.00
_cell_angle_beta 90.00
_cell_angle_gamma 90.00
_space_group_name_H-M_alt 'P 1'
_space_group_IT_number 1
loop_
_space_group_symop_operation_xyz
'x,y,z'
loop_
_atom_site_label
_atom_site_type_symbol
_atom_site_fract_x
_atom_site_fract_y
_atom_site_fract_z
_atom_site_occupancy
Hg1 Hg 0.000 0.000 0.000 1
Pt1 Pt 0.500 0.500 0.500 1
Li1 Li 0.000 0.500 0.000 1
Li2 Li 0.000 0.000 0.500 1
Li3 Li 0.500 0.000 0.000 1
```

***

(9)
Entry from Alexandria: an optimized crystal structure of BaSrMn2 (PBE).

Summary:
Calculated formation energy ... 0.656 eV/atom
Energy relative to the lowest polymorph listed for this composition ... 272.3 meV/atom

CIF file:
```
data_BaSrMn2
_chemical_formula_sum 'Ba1 Sr1 Mn2'
_cell_length_a 4.056
_cell_length_b 3.991
_cell_length_c 8.832
_cell_angle_alpha 63.16
_cell_angle_beta 90.00
_cell_angle_gamma 90.00
_space_group_name_H-M_alt 'P 1'
_space_group_IT_number 1
loop_
_space_group_symop_operation_xyz
'x,y,z'
loop_
_atom_site_label
_atom_site_type_symbol
_atom_site_fract_x
_atom_site_fract_y
_atom_site_fract_z
_atom_site_occupancy
Ba1 Ba 0.500 0.750 0.750 1
Mn1 Mn 0.000 0.972 0.028 1
Mn2 Mn 0.000 0.528 0.472 1
Sr1 Sr 0.500 0.250 0.250 1
```

***

(10)
Entry from Alexandria: an optimized crystal structure of Ca2SnAu6 (PBE).

Summary:
Calculated formation energy ... -0.537 eV/atom
Energy relative to the lowest polymorph listed for this composition ... 0.0 meV/atom

CIF file:
```
data_Ca2SnAu6
_chemical_formula_sum 'Ca2 Sn1 Au6'
_cell_length_a 5.640
_cell_length_b 6.404
_cell_length_c 6.404
_cell_angle_alpha 120.00
_cell_angle_beta 90.00
_cell_angle_gamma 90.00
_space_group_name_H-M_alt 'P 1'
_space_group_IT_number 1
loop_
_space_group_symop_operation_xyz
'x,y,z'
loop_
_atom_site_label
_atom_site_type_symbol
_atom_site_fract_x
_atom_site_fract_y
_atom_site_fract_z
_atom_site_occupancy
Ca1 Ca 0.331 0.667 0.333 1
Ca2 Ca 0.669 0.333 0.667 1
Sn1 Sn 0.500 0.000 0.000 1
Au1 Au 0.823 0.813 0.626 1
Au2 Au 0.823 0.813 0.187 1
Au3 Au 0.177 0.626 0.813 1
Au4 Au 0.823 0.374 0.187 1
Au5 Au 0.177 0.187 0.813 1
Au6 Au 0.177 0.187 0.374 1
```

***

(11)
Entry from Alexandria: an optimized crystal structure of ErZn3Ag2 (PBE).

Summary:
Calculated formation energy ... -0.204 eV/atom

CIF file:
```
data_ErZn3Ag2
_chemical_formula_sum 'Er2 Zn6 Ag4'
_cell_length_a 4.488
_cell_length_b 4.488
_cell_length_c 12.558
_cell_angle_alpha 90.00
_cell_angle_beta 90.00
_cell_angle_gamma 120.00
_space_group_name_H-M_alt 'P 1'
_space_group_IT_number 1
loop_
_space_group_symop_operation_xyz
'x,y,z'
loop_
_atom_site_label
_atom_site_type_symbol
_atom_site_fract_x
_atom_site_fract_y
_atom_site_fract_z
_atom_site_occupancy
Er1 Er 0.000 0.000 0.250 1
Er2 Er 0.000 0.000 0.750 1
Zn1 Zn 0.000 0.000 0.500 1
Zn2 Zn 0.000 0.000 0.000 1
Zn3 Zn 0.667 0.333 0.637 1
Zn4 Zn 0.333 0.667 0.137 1
Zn5 Zn 0.667 0.333 0.863 1
Zn6 Zn 0.333 0.667 0.363 1
Ag1 Ag 0.667 0.333 0.417 1
Ag2 Ag 0.333 0.667 0.583 1
Ag3 Ag 0.333 0.667 0.917 1
Ag4 Ag 0.667 0.333 0.083 1
```

***

(12)
Entry from Alexandria: an optimized crystal structure of Y2Zn2Ru (PBE).

Summary:
Calculated formation energy ... 0.147 eV/atom
Energy relative to the lowest polymorph listed for this composition ... 501.3 meV/atom

CIF file:
```
data_Y2Zn2Ru
_chemical_formula_sum 'Y4 Zn4 Ru2'
_cell_length_a 7.471
_cell_length_b 7.471
_cell_length_c 4.051
_cell_angle_alpha 90.00
_cell_angle_beta 90.00
_cell_angle_gamma 90.00
_space_group_name_H-M_alt 'P 1'
_space_group_IT_number 1
loop_
_space_group_symop_operation_xyz
'x,y,z'
loop_
_atom_site_label
_atom_site_type_symbol
_atom_site_fract_x
_atom_site_fract_y
_atom_site_fract_z
_atom_site_occupancy
Y1 Y 0.327 0.827 0.000 1
Y2 Y 0.827 0.673 0.000 1
Y3 Y 0.673 0.173 0.000 1
Y4 Y 0.173 0.327 0.000 1
Ru1 Ru 0.000 0.000 0.000 1
Ru2 Ru 0.500 0.500 0.000 1
Zn1 Zn 0.127 0.627 0.500 1
Zn2 Zn 0.627 0.873 0.500 1
Zn3 Zn 0.873 0.373 0.500 1
Zn4 Zn 0.373 0.127 0.500 1
```

***

Sequential V output: 182.2; 58.3; 151.5; 326.2; 474.0; 108.8; 209.5; 103.6; 127.6; 200.3; 219.0; 226.1 Å³/cell
Sequential Fermi-level density of states output: 4.78; 2.73; 6.66; 2.13; 9.07; 4.77; 3.63; 2.77; 4.89; 3.68; 1.75; 4.15 states/eV/f.u.